1.
A plane-wave DFT calculation with PBE-GGA was carried out for crystalline SmDy6Ho3Th2 at its relaxed geometry.

a b c (Å): 6.1607 6.1607 11.7475
angles (deg): 95.03 95.03 119.95
Fractional coordinates of all 12 atoms:
Sm 0.0000 0.0000 0.0000
Dy 0.0838 0.4212 0.2490
Dy 0.2539 0.2539 0.7508
Dy 0.4212 0.0838 0.2490
Dy 0.5788 0.9162 0.7510
Dy 0.7461 0.7461 0.2492
Dy 0.9162 0.5788 0.7510
Ho 0.1664 0.8336 0.5000
Ho 0.5000 0.5000 0.5000
Ho 0.8336 0.1664 0.5000
Th 0.3333 0.6667 0.0000
Th 0.6667 0.3333 0.0000

Calculated volume ... 380.4 Å³/cell
DOS(E_F) ... 16.8 states/eV/cell
Space-group type ... C2/m (12)
Uncorrected energy ... -60.5 eV/f.u.
Energy relative to the elements ... 30 meV per atom

***

2.
A plane-wave DFT calculation with PBE-GGA was carried out for crystalline Rb3NdPa2Te6 at its relaxed geometry.

a b c (Å): 7.8154 7.8154 9.1053
angles (deg): 98.22 98.22 120.01
Fractional coordinates of all 12 atoms:
Rb 0.0000 0.0000 0.0000
Rb 0.3359 0.6641 0.0000
Rb 0.6641 0.3359 0.0000
Nd 0.5000 0.5000 0.5000
Pa 0.1671 0.8329 0.5000
Pa 0.8329 0.1671 0.5000
Te 0.0909 0.4310 0.2936
Te 0.2281 0.2281 0.7054
Te 0.4310 0.0909 0.2936
Te 0.5690 0.9091 0.7064
Te 0.7719 0.7719 0.2946
Te 0.9091 0.5690 0.7064

Calculated volume ... 461.4 Å³/cell
DOS(E_F) ... 13.4 states/eV/cell
Space-group type ... C2/m (12)
Uncorrected energy ... -58.3 eV/f.u.